1.
An optimized crystal structure of NdSm6Dy2Er. Source: Alexandria via LeMat-Bulk, functional GGA-PBE.

Energy relative to the elements   0.117 eV/atom
Electronic total energy   -4.57 eV per atom
Spin magnetization   0.0 μB per cell

Cell and atoms, written as POSCAR:
```
NdSm6Dy2Er
1.0
9.193 -1.984 -2.059
0.819 8.628 -2.016
0.819 -2.334 8.547
Nd Sm Dy Er
2 12 4 2
Direct
0.250 0.974 0.026
0.750 0.026 0.974
0.055 0.120 0.756
0.445 0.244 0.880
0.945 0.880 0.244
0.555 0.756 0.120
0.315 0.988 0.436
0.185 0.564 0.012
0.685 0.012 0.564
0.815 0.436 0.988
0.118 0.708 0.490
0.382 0.510 0.292
0.882 0.292 0.510
0.618 0.490 0.708
0.454 0.798 0.697
0.046 0.303 0.202
0.546 0.202 0.303
0.954 0.697 0.798
0.250 0.410 0.590
0.750 0.590 0.410
```

2.
An optimized crystal structure of Nd6Sm3DyEr2. Source: Alexandria via LeMat-Bulk, functional GGA-PBE.

Energy relative to the elements   0.013 eV/atom
Electronic total energy   -4.69 eV per atom
Spin magnetization   0.0 μB per cell

Cell and atoms, written as POSCAR:
```
Nd6Sm3DyEr2
1.0
6.298 -0.002 0.011
-3.149 5.454 0.011
-1.066 -1.846 11.753
Nd Sm Dy Er
6 3 1 2
Direct
0.917 0.584 0.753
0.749 0.749 0.247
0.083 0.416 0.247
0.584 0.917 0.753
0.251 0.251 0.753
0.416 0.083 0.247
0.167 0.833 0.500
0.833 0.167 0.500
0.500 0.500 0.500
0.000 0.000 0.000
0.333 0.667 0.000
0.667 0.333 0.000
```

3.
An optimized crystal structure of Nd6SmDy2Er. Source: Alexandria via LeMat-Bulk, functional GGA-PBE.

Energy relative to the elements   0.115 eV/atom
Electronic total energy   -4.59 eV per atom
Spin magnetization   0.0 μB per cell

Cell and atoms, written as POSCAR:
```
Nd6SmDy2Er
1.0
-2.857 -4.593 -8.034
-3.877 -5.933 5.489
-4.563 7.471 -1.931
Nd Sm Dy Er
12 2 4 2
Direct
0.055 0.117 0.759
0.445 0.241 0.883
0.945 0.883 0.241
0.555 0.759 0.117
0.312 0.991 0.436
0.188 0.564 0.009
0.688 0.009 0.564
0.812 0.436 0.991
0.118 0.707 0.490
0.382 0.510 0.293
0.882 0.293 0.510
0.618 0.490 0.707
0.250 0.973 0.027
0.750 0.027 0.973
0.454 0.798 0.700
0.046 0.300 0.202
0.546 0.202 0.300
0.954 0.700 0.798
0.250 0.411 0.589
0.750 0.589 0.411
```

4.
An optimized crystal structure of Nd3SmDy2Er6. Source: Alexandria via LeMat-Bulk, functional GGA-PBE.

Energy relative to the elements   0.018 eV/atom
Electronic total energy   -4.62 eV per atom
Spin magnetization   0.0 μB per cell

Cell and atoms, written as POSCAR:
```
Nd3SmDy2Er6
1.0
-0.711 5.379 -2.969
-4.463 -2.077 3.745
6.596 4.458 8.637
Nd Sm Dy Er
3 1 2 6
Direct
0.167 0.833 0.500
0.833 0.167 0.500
0.500 0.500 0.500
0.000 0.000 0.000
0.333 0.667 0.000
0.667 0.333 0.000
0.917 0.584 0.753
0.749 0.749 0.247
0.083 0.416 0.247
0.584 0.917 0.753
0.251 0.251 0.753
0.416 0.083 0.247
```

5.
An optimized crystal structure of NdSmDyEr. Source: Alexandria via LeMat-Bulk, functional GGA-PBE.

Energy relative to the elements   0.119 eV/atom
Electronic total energy   -4.54 eV per atom
Spin magnetization   0.0 μB per cell

Cell and atoms, written as POSCAR:
```
NdSmDyEr
1.0
-3.707 -3.995 -1.717
-0.181 -1.556 -5.496
1.885 -5.161 -1.572
Dy Nd Sm Er
1 1 1 1
Direct
0.000 0.000 0.000
0.250 0.250 0.250
0.750 0.750 0.750
0.500 0.500 0.500
```

6.
An optimized crystal structure of Nd2Sm2DyEr4. Source: Alexandria via LeMat-Bulk, functional GGA-PBE.

Energy relative to the elements   0.002 eV/atom
Electronic total energy   -4.65 eV per atom
Spin magnetization   0.0 μB per cell

Cell and atoms, written as POSCAR:
```
Nd2Sm2DyEr4
1.0
3.608 0.000 0.000
-1.804 9.346 -0.492
0.000 -3.710 8.847
Nd Sm Dy Er
2 2 1 4
Direct
0.335 0.669 0.998
0.665 0.331 0.002
0.853 0.706 0.338
0.147 0.294 0.662
0.000 0.000 0.000
0.815 0.630 0.664
0.185 0.370 0.336
0.520 0.039 0.333
0.480 0.961 0.667
```

7.
An optimized crystal structure of Nd6Sm2DyEr3. Source: Alexandria via LeMat-Bulk, functional GGA-PBE.

Energy relative to the elements   0.013 eV/atom
Electronic total energy   -4.68 eV per atom
Spin magnetization   0.0 μB per cell

Cell and atoms, written as POSCAR:
```
Nd6Sm2DyEr3
1.0
6.282 -0.001 0.007
-3.140 5.441 0.007
-1.056 -1.829 11.702
Nd Sm Dy Er
6 2 1 3
Direct
0.916 0.583 0.747
0.751 0.751 0.253
0.084 0.417 0.253
0.583 0.916 0.747
0.249 0.249 0.747
0.417 0.084 0.253
0.333 0.667 0.000
0.667 0.333 0.000
0.000 0.000 0.000
0.167 0.833 0.500
0.833 0.167 0.500
0.500 0.500 0.500
```

8.
An optimized crystal structure of Nd4SmDy2Er. Source: Alexandria via LeMat-Bulk, functional GGA-PBE.

Energy relative to the elements   0.015 eV/atom
Electronic total energy   -4.68 eV per atom
Spin magnetization   0.0 μB per cell

Cell and atoms, written as POSCAR:
```
Nd4SmDy2Er
1.0
3.631 0.000 0.000
0.000 6.268 0.065
0.000 1.998 11.755
Nd Sm Dy Er
4 1 2 1
Direct
0.000 0.751 0.748
0.000 0.249 0.252
0.500 0.750 0.251
0.500 0.250 0.749
0.500 0.500 0.000
0.000 0.000 0.000
0.500 0.000 0.500
0.000 0.500 0.500
```